The following is a DFT calculation (GGA+U) of NaMnPO4 after structural relaxation.

Values from the calculation:
- Calculated volume: 346.0 Å³/cell
- E_tot: -7.04 eV per atom
- M_tot: 5.000 μB/f.u.
- Space group: Pnma

Lattice parameters (Å, degrees): 5.0493 6.4131 10.6841 90.00 90.00 90.00
Last column: magnetic moment on the atom in μB.
Atoms (fractional coordinates):
1 O 0.3105 0.5576 0.6747  0.03
2 Na 0.5000 0.5000 0.0000  0.00
3 O 0.7562 0.7500 0.1134  0.02
4 O 0.1605 0.7500 0.9685  0.02
5 Na 0.5000 0.0000 0.0000  0.00
6 O 0.1895 0.9424 0.1747  0.03
7 P 0.4384 0.7500 0.6065  0.01
8 O 0.8395 0.2500 0.0315  0.02
9 P 0.0616 0.7500 0.1065  0.01
10 O 0.3395 0.7500 0.4685  0.02
11 O 0.6605 0.2500 0.5315  0.02
12 O 0.1895 0.5576 0.1747  0.03
13 O 0.2438 0.2500 0.8866  0.02
14 Mn 0.5058 0.7500 0.2839  4.67
15 O 0.7438 0.7500 0.6134  0.02
16 O 0.6895 0.4424 0.3253  0.03
17 O 0.8105 0.4424 0.8253  0.03
18 O 0.8105 0.0576 0.8253  0.03
19 Na 0.0000 0.0000 0.5000  0.00
20 Mn 0.4942 0.2500 0.7161  4.67
21 Mn 0.0058 0.2500 0.2161  4.67
22 Na 0.0000 0.5000 0.5000  0.00
23 P 0.9384 0.2500 0.8935  0.01
24 P 0.5616 0.2500 0.3935  0.01
25 O 0.6895 0.0576 0.3253  0.03
26 O 0.3105 0.9424 0.6747  0.03
27 Mn 0.9942 0.7500 0.7839  4.67
28 O 0.2562 0.2500 0.3866  0.02